An optimized crystal structure of Hf8BeBi2. Source: Alexandria, functional PBE.

Output
Formation energy from the elements = 103 meV per atom

POSCAR file:
```
Hf8BeBi2
1.0
4.829 0.000 0.000
0.000 5.847 -0.166
-2.414 -2.592 8.670
Hf Be Bi
8 1 2
direct
0.358 0.952 0.715
0.582 0.482 0.165
0.418 0.518 0.835
0.227 0.340 0.455
0.642 0.048 0.285
0.983 0.230 0.967
0.773 0.660 0.545
0.017 0.770 0.033
0.500 0.000 0.000
0.820 0.220 0.640
0.180 0.780 0.360
```